A relaxed structure of RbNbV2O8, computed with PBE with a Hubbard U.

Properties
For the volume, the calculation gives 828.2 Å³ per cell. As for the energy above the most stable polymorph in this dataset: 8 meV per atom.

Unit cell a=15.5824 b=5.6991 c=9.3259 alpha=90.00 beta=90.00 gamma=90.00
Closest atoms and distances in Å follow each position.
Element x y z (fractional)
Rb (0.1018, 0.2500, 0.0615)  6 O 2.94-3.16
Rb (0.3982, 0.7500, 0.5615)  6 O 2.94-3.16
Rb (0.6018, 0.2500, 0.4385)  6 O 2.94-3.16
Rb (0.8982, 0.7500, 0.9385)  6 O 2.94-3.16
Nb (0.1579, 0.2500, 0.5017)  6 O 1.99-2.01
Nb (0.3421, 0.7500, 0.0017)  6 O 1.99-2.01
Nb (0.6579, 0.2500, 0.9983)  6 O 1.99-2.01
Nb (0.8421, 0.7500, 0.4983)  6 O 1.99-2.01
V (0.0577, 0.7500, 0.3180)  4 O 1.66-1.78
V (0.1677, 0.7500, 0.7452)  4 O 1.64-1.79
V (0.3323, 0.2500, 0.2452)  4 O 1.64-1.79
V (0.4423, 0.2500, 0.8180)  4 O 1.66-1.78
V (0.5577, 0.7500, 0.1820)  4 O 1.66-1.78
V (0.6677, 0.7500, 0.7548)  4 O 1.64-1.79
V (0.8323, 0.2500, 0.2548)  4 O 1.64-1.79
V (0.9423, 0.2500, 0.6820)  4 O 1.66-1.78
O (0.0411, 0.2500, 0.5913)  1 V 1.76
O (0.0424, 0.7500, 0.1419)  1 V 1.66
O (0.0649, 0.7500, 0.7839)  1 V 1.64
O (0.1182, 0.0038, 0.3638)  1 V 1.78
O (0.1182, 0.4962, 0.3638)  1 V 1.78
O (0.1943, 0.0019, 0.6425)  1 V 1.77
O (0.1943, 0.4981, 0.6425)  1 V 1.77
O (0.2271, 0.7500, 0.9096)  1 V 1.79, 1 Nb 1.99
O (0.2729, 0.2500, 0.4096)  1 V 1.79, 1 Nb 1.99
O (0.3057, 0.5019, 0.1425)  1 V 1.77
O (0.3057, 0.9981, 0.1425)  1 V 1.77
O (0.3818, 0.5038, 0.8638)  1 V 1.78
O (0.3818, 0.9962, 0.8638)  1 V 1.78
O (0.4351, 0.2500, 0.2839)  1 V 1.64
O (0.4576, 0.2500, 0.6419)  1 V 1.66
O (0.4589, 0.7500, 0.0913)  1 V 1.76
O (0.5411, 0.2500, 0.9087)  1 V 1.76
O (0.5424, 0.7500, 0.3581)  1 V 1.66
O (0.5649, 0.7500, 0.7161)  1 V 1.64
O (0.6182, 0.0038, 0.1362)  1 V 1.78
O (0.6182, 0.4962, 0.1362)  1 V 1.78
O (0.6943, 0.0019, 0.8575)  1 V 1.77
O (0.6943, 0.4981, 0.8575)  1 V 1.77
O (0.7271, 0.7500, 0.5904)  1 V 1.79, 1 Nb 1.99
O (0.7729, 0.2500, 0.0904)  1 V 1.79, 1 Nb 1.99
O (0.8057, 0.5019, 0.3575)  1 V 1.77
O (0.8057, 0.9981, 0.3575)  1 V 1.77
O (0.8818, 0.5038, 0.6362)  1 V 1.78
O (0.8818, 0.9962, 0.6362)  1 V 1.78
O (0.9351, 0.2500, 0.2161)  1 V 1.64
O (0.9576, 0.2500, 0.8581)  1 V 1.66
O (0.9589, 0.7500, 0.4087)  1 V 1.76